No. 1
# MnCoW | Alexandria | GGA-PBE | optimized geometry
# Crystal system: orthorhombic
# N(E_F), states/eV per atom: 1.24
# Energy of formation, meV per atom: -20
# Total magnetization, μB per formula unit: 0.003
# Distance to the lowest polymorph of the same formula, meV per atom: 0.0
# VASP energy, eV per formula unit: -29.29
data_MnCoW
_symmetry_space_group_name_H-M 'I m a 2'
_symmetry_Int_Tables_number 46
_symmetry_space_group_name_Hall 'I 2 -2a'
_cell_length_a 4.5932
_cell_length_b 6.8050
_cell_length_c 4.7147
_cell_angle_alpha 90.00
_cell_angle_beta 90.00
_cell_angle_gamma 90.00
loop_
_atom_site_label
_atom_site_fract_x
_atom_site_fract_y
_atom_site_fract_z
Mn1 0.0000 0.0000 0.0000
Co1 0.2500 0.2240 0.2960
W1 0.2500 0.6249 0.0278

---

No. 2
# MnCo2W | Alexandria | GGA-PBE | optimized geometry
# Crystal system: orthorhombic
# N(E_F), states/eV per atom: 0.66
# Energy of formation, meV per atom: 56
# Total magnetization, μB per formula unit: 0.000
# Distance to the lowest polymorph of the same formula, meV per atom: 84.0
# VASP energy, eV per formula unit: -36.11
data_MnCo2W
_symmetry_space_group_name_H-M 'P m m 2'
_symmetry_Int_Tables_number 25
_symmetry_space_group_name_Hall 'P 2 -2'
_cell_length_a 2.5857
_cell_length_b 4.1063
_cell_length_c 4.4826
_cell_angle_alpha 90.00
_cell_angle_beta 90.00
_cell_angle_gamma 90.00
loop_
_atom_site_label
_atom_site_fract_x
_atom_site_fract_y
_atom_site_fract_z
Mn1 0.0000 0.0000 0.0000
Co1 0.5000 0.0000 0.4674
Co2 0.5000 0.5000 0.1429
W1 0.0000 0.5000 0.6488

---

No. 3
# Mn2CoW | Alexandria | GGA-PBE | optimized geometry
# Crystal system: cubic
# N(E_F), states/eV per atom: 0.66
# Energy of formation, meV per atom: 82
# Total magnetization, μB per formula unit: 4.713
# Distance to the lowest polymorph of the same formula, meV per atom: 54.9
# VASP energy, eV per formula unit: -38.07
data_Mn2CoW
_symmetry_space_group_name_H-M 'F -4 3 m'
_symmetry_Int_Tables_number 216
_symmetry_space_group_name_Hall 'F -4 2 3'
_cell_length_a 5.8689
_cell_length_b 5.8689
_cell_length_c 5.8689
_cell_angle_alpha 90.00
_cell_angle_beta 90.00
_cell_angle_gamma 90.00
loop_
_atom_site_label
_atom_site_fract_x
_atom_site_fract_y
_atom_site_fract_z
Mn1 0.0000 0.0000 0.0000
Mn2 0.2500 0.2500 0.2500
Co1 0.2500 0.2500 0.7500
W1 0.0000 0.0000 0.5000

---

No. 4
# Mn2CoW | Alexandria | GGA-PBE | optimized geometry
# Crystal system: cubic
# N(E_F), states/eV per atom: 0.29
# Energy of formation, meV per atom: 27
# Total magnetization, μB per formula unit: 4.984
# Distance to the lowest polymorph of the same formula, meV per atom: 0.0
# VASP energy, eV per formula unit: -38.29
data_Mn2CoW
_symmetry_space_group_name_H-M 'F m -3 m'
_symmetry_Int_Tables_number 225
_symmetry_space_group_name_Hall '-F 4 2 3'
_cell_length_a 5.8697
_cell_length_b 5.8697
_cell_length_c 5.8697
_cell_angle_alpha 90.00
_cell_angle_beta 90.00
_cell_angle_gamma 90.00
loop_
_atom_site_label
_atom_site_fract_x
_atom_site_fract_y
_atom_site_fract_z
Mn1 0.2500 0.2500 0.2500
Co1 0.0000 0.0000 0.0000
W1 0.0000 0.0000 0.5000

---

No. 5
# MnCo2W | Alexandria | GGA-PBE | optimized geometry
# Crystal system: tetragonal
# N(E_F), states/eV per atom: 1.33
# Energy of formation, meV per atom: 132
# Total magnetization, μB per formula unit: 1.224
# Distance to the lowest polymorph of the same formula, meV per atom: 159.5
# VASP energy, eV per formula unit: -35.81
data_MnCo2W
_symmetry_space_group_name_H-M 'P 4/m m m'
_symmetry_Int_Tables_number 123
_symmetry_space_group_name_Hall '-P 4 2'
_cell_length_a 2.5923
_cell_length_b 2.5923
_cell_length_c 7.1870
_cell_angle_alpha 90.00
_cell_angle_beta 90.00
_cell_angle_gamma 90.00
loop_
_atom_site_label
_atom_site_fract_x
_atom_site_fract_y
_atom_site_fract_z
Mn1 0.0000 0.0000 0.0000
Co1 0.5000 0.5000 0.2333
W1 0.0000 0.0000 0.5000

---

No. 6
# MnCoW | Alexandria | GGA-PBE | optimized geometry
# Crystal system: hexagonal
# N(E_F), states/eV per atom: 1.35
# Energy of formation, meV per atom: 356
# Total magnetization, μB per formula unit: 0.002
# Distance to the lowest polymorph of the same formula, meV per atom: 376.1
# VASP energy, eV per formula unit: -28.16
data_MnCoW
_symmetry_space_group_name_H-M 'P 62 2 2'
_symmetry_Int_Tables_number 180
_symmetry_space_group_name_Hall 'P 62 2 (0 0 4)'
_cell_length_a 4.6986
_cell_length_b 4.6986
_cell_length_c 12.2623
_cell_angle_alpha 90.00
_cell_angle_beta 90.00
_cell_angle_gamma 120.00
loop_
_atom_site_label
_atom_site_fract_x
_atom_site_fract_y
_atom_site_fract_z
Mn1 0.0000 0.5000 0.3357
Co1 0.3209 0.6604 0.1667
W1 0.0000 0.0000 0.1667
W2 0.0000 0.5000 0.6667

---

No. 7
# Mn3CoW | Alexandria | GGA-PBE | optimized geometry
# Crystal system: cubic
# N(E_F), states/eV per atom: 1.62
# Energy of formation, meV per atom: 1701
# Total magnetization, μB per formula unit: 9.601
# Distance to the lowest polymorph of the same formula, meV per atom: 454.1
# VASP energy, eV per formula unit: -39.06
data_Mn3CoW
_symmetry_space_group_name_H-M 'P m -3 m'
_symmetry_Int_Tables_number 221
_symmetry_space_group_name_Hall '-P 4 2 3'
_cell_length_a 4.5518
_cell_length_b 4.5518
_cell_length_c 4.5518
_cell_angle_alpha 90.00
_cell_angle_beta 90.00
_cell_angle_gamma 90.00
loop_
_atom_site_label
_atom_site_fract_x
_atom_site_fract_y
_atom_site_fract_z
Mn1 0.0000 0.0000 0.5000
Co1 0.5000 0.5000 0.5000
W1 0.0000 0.0000 0.0000

---

No. 8
# MnCo3W | Alexandria | GGA-PBE | optimized geometry
# Crystal system: cubic
# N(E_F), states/eV per atom: 1.66
# Energy of formation, meV per atom: 1382
# Total magnetization, μB per formula unit: 3.687
# VASP energy, eV per formula unit: -36.53
data_MnCo3W
_symmetry_space_group_name_H-M 'P m -3 m'
_symmetry_Int_Tables_number 221
_symmetry_space_group_name_Hall '-P 4 2 3'
_cell_length_a 4.1001
_cell_length_b 4.1001
_cell_length_c 4.1001
_cell_angle_alpha 90.00
_cell_angle_beta 90.00
_cell_angle_gamma 90.00
loop_
_atom_site_label
_atom_site_fract_x
_atom_site_fract_y
_atom_site_fract_z
Mn1 0.0000 0.0000 0.0000
Co1 0.0000 0.0000 0.5000
W1 0.5000 0.5000 0.5000

---

No. 9
# Mn3CoW | Alexandria | GGA-PBE | optimized geometry
# Crystal system: cubic
# N(E_F), states/eV per atom: 1.30
# Energy of formation, meV per atom: 1247
# Total magnetization, μB per formula unit: 7.521
# Distance to the lowest polymorph of the same formula, meV per atom: 0.0
# VASP energy, eV per formula unit: -41.33
data_Mn3CoW
_symmetry_space_group_name_H-M 'P m -3 m'
_symmetry_Int_Tables_number 221
_symmetry_space_group_name_Hall '-P 4 2 3'
_cell_length_a 4.2506
_cell_length_b 4.2506
_cell_length_c 4.2506
_cell_angle_alpha 90.00
_cell_angle_beta 90.00
_cell_angle_gamma 90.00
loop_
_atom_site_label
_atom_site_fract_x
_atom_site_fract_y
_atom_site_fract_z
Mn1 0.0000 0.0000 0.5000
Co1 0.0000 0.0000 0.0000
W1 0.5000 0.5000 0.5000

---

No. 10
# MnCoW3 | Alexandria | GGA-PBE | optimized geometry
# Crystal system: cubic
# N(E_F), states/eV per atom: 1.18
# Energy of formation, meV per atom: 1583
# Total magnetization, μB per formula unit: 0.000
# Distance to the lowest polymorph of the same formula, meV per atom: 0.0
# VASP energy, eV per formula unit: -47.22
data_MnCoW3
_symmetry_space_group_name_H-M 'P m -3 m'
_symmetry_Int_Tables_number 221
_symmetry_space_group_name_Hall '-P 4 2 3'
_cell_length_a 4.4138
_cell_length_b 4.4138
_cell_length_c 4.4138
_cell_angle_alpha 90.00
_cell_angle_beta 90.00
_cell_angle_gamma 90.00
loop_
_atom_site_label
_atom_site_fract_x
_atom_site_fract_y
_atom_site_fract_z
Mn1 0.0000 0.0000 0.0000
Co1 0.5000 0.5000 0.5000
W1 0.0000 0.0000 0.5000

---

No. 11
# MnCo2W | Alexandria | GGA-PBE | optimized geometry
# Crystal system: trigonal
# N(E_F), states/eV per atom: 1.42
# Energy of formation, meV per atom: 301
# Total magnetization, μB per formula unit: 0.875
# Distance to the lowest polymorph of the same formula, meV per atom: 328.9
# VASP energy, eV per formula unit: -35.13
data_MnCo2W
_symmetry_space_group_name_H-M 'R 3 m'
_symmetry_Int_Tables_number 160
_symmetry_space_group_name_Hall 'R 3 -2"'
_cell_length_a 2.6205
_cell_length_b 2.6205
_cell_length_c 25.3575
_cell_angle_alpha 90.00
_cell_angle_beta 90.00
_cell_angle_gamma 120.00
loop_
_atom_site_label
_atom_site_fract_x
_atom_site_fract_y
_atom_site_fract_z
Mn1 0.0000 0.0000 0.0000
Co1 0.0000 0.0000 0.2559
Co2 0.0000 0.0000 0.5118
W1 0.0000 0.0000 0.7579

---

No. 12
# MnCoW3 | Alexandria | GGA-PBE | optimized geometry
# Crystal system: cubic
# N(E_F), states/eV per atom: 2.23
# Energy of formation, meV per atom: 1687
# Total magnetization, μB per formula unit: 0.000
# Distance to the lowest polymorph of the same formula, meV per atom: 104.0
# VASP energy, eV per formula unit: -46.70
data_MnCoW3
_symmetry_space_group_name_H-M 'P m -3 m'
_symmetry_Int_Tables_number 221
_symmetry_space_group_name_Hall '-P 4 2 3'
_cell_length_a 4.4034
_cell_length_b 4.4034
_cell_length_c 4.4034
_cell_angle_alpha 90.00
_cell_angle_beta 90.00
_cell_angle_gamma 90.00
loop_
_atom_site_label
_atom_site_fract_x
_atom_site_fract_y
_atom_site_fract_z
Mn1 0.0000 0.0000 0.0000
Co1 0.5000 0.5000 0.5000
W1 0.0000 0.5000 0.5000

---

No. 13
# MnCo2W | Alexandria | GGA-PBE | optimized geometry
# Crystal system: tetragonal
# N(E_F), states/eV per atom: 0.74
# Energy of formation, meV per atom: -28
# Total magnetization, μB per formula unit: 1.111
# Distance to the lowest polymorph of the same formula, meV per atom: 0.0
# VASP energy, eV per formula unit: -36.45
data_MnCo2W
_symmetry_space_group_name_H-M 'P 4/m m m'
_symmetry_Int_Tables_number 123
_symmetry_space_group_name_Hall '-P 4 2'
_cell_length_a 3.6158
_cell_length_b 3.6158
_cell_length_c 3.6390
_cell_angle_alpha 90.00
_cell_angle_beta 90.00
_cell_angle_gamma 90.00
loop_
_atom_site_label
_atom_site_fract_x
_atom_site_fract_y
_atom_site_fract_z
Mn1 0.0000 0.0000 0.0000
Co1 0.0000 0.5000 0.5000
W1 0.5000 0.5000 0.0000

---

No. 14
# MnCoW | Alexandria | GGA-PBE | optimized geometry
# Crystal system: tetragonal
# N(E_F), states/eV per atom: 1.41
# Energy of formation, meV per atom: 149
# Total magnetization, μB per formula unit: 0.914
# Distance to the lowest polymorph of the same formula, meV per atom: 168.9
# VASP energy, eV per formula unit: -28.78
data_MnCoW
_symmetry_space_group_name_H-M 'I 4 m m'
_symmetry_Int_Tables_number 107
_symmetry_space_group_name_Hall 'I 4 -2'
_cell_length_a 2.6014
_cell_length_b 2.6014
_cell_length_c 11.1980
_cell_angle_alpha 90.00
_cell_angle_beta 90.00
_cell_angle_gamma 90.00
loop_
_atom_site_label
_atom_site_fract_x
_atom_site_fract_y
_atom_site_fract_z
Mn1 0.0000 0.0000 0.0000
Co1 0.0000 0.0000 0.6436
W1 0.0000 0.0000 0.3170